This record from Alexandria describes an optimized crystal structure of Ba4Pu3MoO12. The functional is PBE+U.

Structure (POSCAR):
```
Ba4Pu3MoO12
1.0
-4.3497 4.3497 4.3497
4.3497 -4.3497 4.3497
4.3497 4.3497 -4.3497
Ba Pu Mo O
4 3 1 12
Direct
0.0000 0.0000 0.5000
0.0000 0.5000 0.0000
0.5000 0.0000 0.0000
0.5000 0.5000 0.5000
0.0000 0.5000 0.5000
0.5000 0.0000 0.5000
0.5000 0.5000 0.0000
0.0000 0.0000 0.0000
0.0000 0.2491 0.2491
0.0000 0.7509 0.7509
0.2491 0.0000 0.2491
0.2491 0.2491 0.0000
0.2500 0.5000 0.7500
0.2500 0.7500 0.5000
0.5000 0.2500 0.7500
0.5000 0.7500 0.2500
0.7500 0.2500 0.5000
0.7500 0.5000 0.2500
0.7509 0.0000 0.7509
0.7509 0.7509 0.0000
```

Computed properties:
E_tot (eV per atom): -8.65
Density of states at the Fermi level (states/eV per cell): 17.71